{"formula": "Ta3NbV4O20", "functional": "GGA+U", "state": "optimized geometry", "lattice_angstrom": [[7.0689, 0.0000, 0.0000], [0.0000, 5.6214, 0.0000], [-0.0132, 0.0000, 12.0696]], "species": ["Ta", "Ta", "Ta", "Nb", "V", "V", "V", "V", "O", "O", "O", "O", "O", "O", "O", "O", "O", "O", "O", "O", "O", "O", "O", "O", "O", "O", "O", "O"], "frac_coords": [[0.0000, 0.0000, 0.0000], [0.1832, 0.0000, 0.5014], [0.4969, 0.5000, 0.6182], [0.6864, 0.5000, 0.1180], [0.3096, 0.5000, 0.9047], [0.3688, 0.0000, 0.2145], [0.8095, 0.0000, 0.7140], [0.8697, 0.5000, 0.4063], [0.0172, 0.0000, 0.6363], [0.1608, 0.0000, 0.1350], [0.1792, 0.2489, 0.9353], [0.1792, 0.7511, 0.9353], [0.3095, 0.0000, 0.3567], [0.3396, 0.2500, 0.5602], [0.3396, 0.7500, 0.5602], [0.3682, 0.5000, 0.7635], [0.4979, 0.2496, 0.1841], [0.4979, 0.7504, 0.1841], [0.5159, 0.5000, 0.9829], [0.6611, 0.5000, 0.4836], [0.6797, 0.2509, 0.6831], [0.6797, 0.7491, 0.6831], [0.8132, 0.5000, 0.2643], [0.8400, 0.2492, 0.0591], [0.8400, 0.7508, 0.0591], [0.8671, 0.0000, 0.8558], [0.9989, 0.2493, 0.4374], [0.9989, 0.7507, 0.4374]], "space_group": "Pm (6)", "n_ef_per_ev_cell": 0.00, "final_energy_ev_per_atom": -8.585, "total_magnetization_mub_per_cell": 0.0}